No. 1
The following is a DFT calculation (PBE) of crystalline ScMn9Re2 at its relaxed geometry.

abc: 4.6990 4.6990 23.2529
angles: 90.00 90.00 120.00
With the nearest neighbours (Å) after each atom.
Space group R-3m (No. 166, hexagonal axes)
Symmetry-distinct sites (fractional):
Sc: 0.0000 0.0000 0.0000 (multiplicity 3)  6 Mn 2.72
Mn: 0.0000 0.0000 0.3387 (multiplicity 6)  6 Mn 2.34-2.49
Mn: 0.0000 0.0000 0.5000 (multiplicity 3)  6 Mn 2.35
Mn: 0.0129 0.5065 0.9141 (multiplicity 18)  7 Mn 2.26-2.49
Re: 0.0000 0.0000 0.1410 (multiplicity 6)  12 Mn 2.68-2.80, 3 Re 2.96

ΔH_f (0 K) in meV per atom: -28

---

No. 2
The following is a DFT calculation (PBE) of crystalline ScMn2Re at its relaxed geometry.

abc: 2.7309 2.7309 7.5613
angles: 90.00 90.00 90.00
With the nearest neighbours (Å) after each atom.
Space group P4mm (No. 99)
Symmetry-distinct sites (fractional):
Sc: 0.0000 0.0000 0.0000 (multiplicity 1)  4 Sc 2.73, 4 Mn 2.83, 4 Re 3.03
Mn: 0.0000 0.0000 0.4414 (multiplicity 1)  4 Mn 2.31
Mn: 0.5000 0.5000 0.2737 (multiplicity 1)  4 Mn 2.31
Re: 0.5000 0.5000 0.6912 (multiplicity 1)  4 Mn 2.70, 4 Re 2.73

ΔH_f (0 K) in meV per atom: 121

---

No. 3
The following is a DFT calculation (PBE) of crystalline ScMn2Re at its relaxed geometry.

abc: 3.1961 4.3114 4.3552
angles: 90.00 90.00 90.00
With the nearest neighbours (Å) after each atom.
Space group Pmmm (No. 47)
Symmetry-distinct sites (fractional):
Sc: 0.0000 0.0000 0.0000 (multiplicity 1)  4 Re 2.68, 4 Mn 2.70
Mn: 0.0000 0.5000 0.5000 (multiplicity 1)  4 Mn 2.68, 4 Re 2.70
Mn: 0.5000 0.0000 0.5000 (multiplicity 1)  4 Mn 2.68, 4 Sc 2.70
Re: 0.5000 0.5000 0.0000 (multiplicity 1)  4 Sc 2.68, 4 Mn 2.70

ΔH_f (0 K) in meV per atom: 169

---

No. 4
The following is a DFT calculation (PBE) of crystalline ScMn2Re at its relaxed geometry.

abc: 3.0984 4.4412 8.3175
angles: 90.00 90.00 90.00
With the nearest neighbours (Å) after each atom.
Space group Immm (No. 71)
Symmetry-distinct sites (fractional):
Sc: 0.0000 0.0000 0.0000 (multiplicity 2)  8 Mn 2.70-2.95, 4 Re 2.71
Mn: 0.0000 0.5000 0.2340 (multiplicity 4)  2 Re 2.49, 2 Sc 2.70, 4 Mn 2.72
Re: 0.0000 0.0000 0.5000 (multiplicity 2)  4 Mn 2.49, 4 Sc 2.71

ΔH_f (0 K) in meV per atom: 174

---

No. 5
The following is a DFT calculation (PBE) of crystalline ScMnRe3 at its relaxed geometry.

abc: 4.4624 4.4624 4.4624
angles: 90.00 90.00 90.00
With the nearest neighbours (Å) after each atom.
Space group Pm-3m (No. 221)
Symmetry-distinct sites (fractional):
Sc: 0.0000 0.0000 0.0000 (multiplicity 1)  12 Re 3.16
Mn: 0.5000 0.5000 0.5000 (multiplicity 1)  6 Re 2.23
Re: 0.0000 0.5000 0.5000 (multiplicity 3)  2 Mn 2.23

ΔH_f (0 K) in meV per atom: 971

---

No. 6
The following is a DFT calculation (PBE) of crystalline ScMn2Re at its relaxed geometry.

abc: 6.9573 6.9573 5.3979
angles: 90.00 90.00 90.00
With the nearest neighbours (Å) after each atom.
Space group I-42d (No. 122)
Symmetry-distinct sites (fractional):
Sc: 0.0000 0.0000 0.0000 (multiplicity 4)  2 Re 2.70, 4 Mn 2.75
Mn: 0.2103 0.7500 0.6250 (multiplicity 8)  2 Re 2.37
Re: 0.0000 0.0000 0.5000 (multiplicity 4)  4 Mn 2.37

ΔH_f (0 K) in meV per atom: 514

---

No. 7
The following is a DFT calculation (PBE) of crystalline ScMn2Re at its relaxed geometry.

abc: 3.6595 3.6595 8.6457
angles: 90.00 90.00 90.00
With the nearest neighbours (Å) after each atom.
Space group I-4m2 (No. 119)
Symmetry-distinct sites (fractional):
Sc: 0.0000 0.0000 0.0000 (multiplicity 2)  8 Mn 2.59-2.83, 4 Re 2.83
Mn: 0.0000 0.0000 0.5000 (multiplicity 2)  4 Sc 2.59, 4 Mn 2.83, 4 Re 2.83
Mn: 0.0000 0.5000 0.7500 (multiplicity 2)  4 Re 2.59, 4 Mn 2.83, 4 Sc 2.83
Re: 0.0000 0.5000 0.2500 (multiplicity 2)  8 Mn 2.59-2.83, 4 Sc 2.83

ΔH_f (0 K) in meV per atom: 257

---

No. 8
The following is a DFT calculation (PBE) of crystalline ScMn2Re at its relaxed geometry.

abc: 2.9975 4.3536 8.8077
angles: 90.00 90.00 90.00
With the nearest neighbours (Å) after each atom.
Space group Imm2 (No. 44)
Symmetry-distinct sites (fractional):
Sc: 0.0000 0.0000 0.0000 (multiplicity 2)  6 Mn 2.64-2.81, 2 Re 2.82
Mn: 0.0000 0.0000 0.5030 (multiplicity 2)  2 Re 2.49, 2 Mn 2.54, 4 Sc 2.64
Mn: 0.0000 0.5000 0.7698 (multiplicity 2)  2 Mn 2.54, 4 Re 2.67, 2 Sc 2.81
Re: 0.0000 0.5000 0.2287 (multiplicity 2)  6 Mn 2.49-2.67

ΔH_f (0 K) in meV per atom: 80

---

No. 9
The following is a DFT calculation (PBE) of crystalline ScMn2Re at its relaxed geometry.

abc: 3.0008 3.0008 6.2284
angles: 90.00 90.00 90.00
With the nearest neighbours (Å) after each atom.
Space group P4/mmm (No. 123)
Symmetry-distinct sites (fractional):
Sc: 0.0000 0.0000 0.0000 (multiplicity 1)  8 Mn 2.72, 4 Sc 3.00
Mn: 0.5000 0.5000 0.2735 (multiplicity 2)  4 Re 2.55, 4 Sc 2.72, 1 Mn 2.82
Re: 0.0000 0.0000 0.5000 (multiplicity 1)  8 Mn 2.55

ΔH_f (0 K) in meV per atom: -5

---

No. 10
The following is a DFT calculation (PBE) of crystalline ScMn2Re at its relaxed geometry.

abc: 2.7349 4.0715 5.3992
angles: 90.00 102.90 90.00
With the nearest neighbours (Å) after each atom.
Space group P2/m (No. 10)
Symmetry-distinct sites (fractional):
Sc: 0.0000 0.0000 0.0000 (multiplicity 1)  8 Mn 2.73-3.01, 2 Sc 2.73, 2 Re 2.74
Mn: 0.2693 0.5000 0.7200 (multiplicity 2)  3 Mn 2.50-2.73, 2 Re 2.51, 2 Sc 2.73
Re: 0.5000 0.0000 0.5000 (multiplicity 1)  4 Mn 2.51, 2 Re 2.73, 2 Sc 2.74

ΔH_f (0 K) in meV per atom: 152

---

No. 11
The following is a DFT calculation (PBE) of crystalline ScMnRe4 at its relaxed geometry.

abc: 7.3932 7.3932 7.3932
angles: 90.00 90.00 90.00
With the nearest neighbours (Å) after each atom.
Space group F-43m (No. 216)
Symmetry-distinct sites (fractional):
Sc: 0.0000 0.0000 0.0000 (multiplicity 4)  12 Re 3.07, 4 Mn 3.20
Mn: 0.2500 0.2500 0.7500 (multiplicity 4)  12 Re 3.06, 4 Sc 3.20
Re: 0.1245 0.1245 0.3755 (multiplicity 16)  6 Re 2.60-2.62

ΔH_f (0 K) in meV per atom: 62

---

No. 12
The following is a DFT calculation (PBE) of crystalline ScMnRe3 at its relaxed geometry.

abc: 4.4994 4.4994 4.4994
angles: 90.00 90.00 90.00
With the nearest neighbours (Å) after each atom.
Space group Pm-3m (No. 221)
Symmetry-distinct sites (fractional):
Sc: 0.0000 0.0000 0.0000 (multiplicity 1)  6 Re 2.25
Mn: 0.5000 0.5000 0.5000 (multiplicity 1)  12 Re 3.18
Re: 0.0000 0.0000 0.5000 (multiplicity 3)  2 Sc 2.25

ΔH_f (0 K) in meV per atom: 2727

---

> The highest ΔH_f (0 K) belongs to which entry?

number 12

---

What did the twelfth record say?
The following is a DFT calculation (PBE) of crystalline ScMnRe3 at its relaxed geometry.

abc: 4.4994 4.4994 4.4994
angles: 90.00 90.00 90.00
With the nearest neighbours (Å) after each atom.
Space group Pm-3m (No. 221)
Symmetry-distinct sites (fractional):
Sc: 0.0000 0.0000 0.0000 (multiplicity 1)  6 Re 2.25
Mn: 0.5000 0.5000 0.5000 (multiplicity 1)  12 Re 3.18
Re: 0.0000 0.0000 0.5000 (multiplicity 3)  2 Sc 2.25

ΔH_f (0 K) in meV per atom: 2727

---

> Which formula does entry 12 have?

ScMnRe3